Arrangement a

RbHgS3 | PBE | optimized geometry

Lattice parameters (Å, degrees): 6.5579 6.5579 6.5579 90.00 90.00 90.00
Closest atoms and distances in Å follow each position.
Element x y z (fractional)
Rb 0.0000 0.0000 0.0000  6 S 3.28
Hg 0.5000 0.5000 0.5000  12 S 4.64
S 0.0000 0.0000 0.5000  2 Rb 3.28
S 0.0000 0.5000 0.0000  2 Rb 3.28
S 0.5000 0.0000 0.0000  2 Rb 3.28

Computed properties:
Volume ... 282.0 Å³/cell
Crystal system ... cubic
Fermi-level density of states ... 6.59 states/eV/cell

Arrangement b

RbHgS3 | PBE | optimized geometry

Lattice parameters (Å, degrees): 5.1482 5.1482 5.1482 90.00 90.00 90.00
Closest atoms and distances in Å follow each position.
Element x y z (fractional)
Rb 0.0000 0.0000 0.0000  12 S 3.64
Hg 0.5000 0.5000 0.5000  6 S 2.57
S 0.0000 0.5000 0.5000  2 Hg 2.57
S 0.5000 0.0000 0.5000  2 Hg 2.57
S 0.5000 0.5000 0.0000  2 Hg 2.57

Computed properties:
Volume ... 136.4 Å³/cell
Crystal system ... cubic
Fermi-level density of states ... 5.45 states/eV/cell

Computed stability ranking, most favorable first: arrangement b, arrangement a

Arrangement a

RbHgS | PBE | optimized geometry

Lattice parameters (Å, degrees): 6.4050 6.4050 6.4050 143.09 143.09 53.18
Closest atoms and distances in Å follow each position.
Element x y z (fractional)
Rb 0.0000 0.0000 0.0000  1 S 3.21, 1 Hg 3.25
Hg 0.2841 0.2841 0.0000  4 S 2.96, 1 Rb 3.25
S 0.7201 0.7201 0.0000  4 Hg 2.96, 1 Rb 3.21

Computed properties:
Volume ... 94.2 Å³/cell
Crystal system ... tetragonal
Fermi-level density of states ... 1.65 states/eV/cell

Arrangement b

RbHgS | PBE | optimized geometry

Lattice parameters (Å, degrees): 8.8645 8.8645 8.8645 148.89 142.11 49.80
Closest atoms and distances in Å follow each position.
Element x y z (fractional)
Rb 0.1645 0.1645 0.0000  1 S 3.27
Rb 0.8355 0.8355 0.0000  1 S 3.27
Hg 0.2338 0.5000 0.7338  2 S 2.62, 1 Hg 2.69
Hg 0.7662 0.5000 0.2662  2 S 2.62, 1 Hg 2.69
S 0.3681 0.3681 0.0000  2 Hg 2.62
S 0.6319 0.6319 0.0000  2 Hg 2.62

Computed properties:
Volume ... 220.0 Å³/cell
Crystal system ... orthorhombic

Arrangement c

RbHgS | PBE | optimized geometry

Lattice parameters (Å, degrees): 4.8573 4.8573 4.8639 90.00 90.00 120.00
Closest atoms and distances in Å follow each position.
Element x y z (fractional)
Rb 0.0000 0.0000 0.0000  6 Hg 3.71, 6 S 3.71
Hg 0.6667 0.3333 0.5000  3 S 2.80
S 0.3333 0.6667 0.5000  3 Hg 2.80

Computed properties:
Volume ... 99.4 Å³/cell
Crystal system ... hexagonal
Fermi-level density of states ... 1.14 states/eV/cell

Computed stability ranking, most favorable first: arrangement b, arrangement c, arrangement a

Arrangement a

RbHg3S | PBE | optimized geometry

Lattice parameters (Å, degrees): 6.7515 6.7515 6.7515 90.00 90.00 90.00
Closest atoms and distances in Å follow each position.
Element x y z (fractional)
Rb 0.0000 0.0000 0.0000  6 Hg 3.38
Hg 0.0000 0.0000 0.5000  2 Rb 3.38
Hg 0.0000 0.5000 0.0000  2 Rb 3.38
Hg 0.5000 0.0000 0.0000  2 Rb 3.38
S 0.5000 0.5000 0.5000  12 Hg 4.77

Computed properties:
Volume ... 307.7 Å³/cell
Crystal system ... cubic
Fermi-level density of states ... 16.19 states/eV/cell

Arrangement b

RbHg3S | PBE | optimized geometry

Lattice parameters (Å, degrees): 5.6684 5.6684 5.6684 90.00 90.00 90.00
Closest atoms and distances in Å follow each position.
Element x y z (fractional)
Rb 0.0000 0.0000 0.0000  12 Hg 4.01
Hg 0.0000 0.5000 0.5000  2 S 2.83
Hg 0.5000 0.0000 0.5000  2 S 2.83
Hg 0.5000 0.5000 0.0000  2 S 2.83
S 0.5000 0.5000 0.5000  6 Hg 2.83

Computed properties:
Volume ... 182.1 Å³/cell
Crystal system ... cubic
Fermi-level density of states ... 4.72 states/eV/cell

Computed stability ranking, most favorable first: arrangement b, arrangement a

Arrangement a

RbZnHgS2 | PBE | optimized geometry

Lattice parameters (Å, degrees): 6.6491 6.6491 7.5330 90.00 90.00 90.00
Closest atoms and distances in Å follow each position.
Element x y z (fractional)
Rb 0.0000 0.0000 0.0000  4 S 3.32
Zn 0.0000 0.0000 0.5000  2 Rb 3.77
Hg 0.5000 0.5000 0.5000  4 Zn 4.70, 8 S 5.02
S 0.0000 0.5000 0.0000  2 Rb 3.32
S 0.5000 0.0000 0.0000  2 Rb 3.32

Computed properties:
Volume ... 333.0 Å³/cell
Crystal system ... tetragonal
Fermi-level density of states ... 11.80 states/eV/cell

Arrangement b

RbZnHgS2 | PBE | optimized geometry

Lattice parameters (Å, degrees): 5.2908 5.2908 5.0921 90.00 90.00 90.00
Closest atoms and distances in Å follow each position.
Element x y z (fractional)
Rb 0.0000 0.0000 0.0000  8 S 3.67, 4 Zn 3.74
Zn 0.5000 0.5000 0.0000  2 Hg 2.55
Hg 0.5000 0.5000 0.5000  2 Zn 2.55, 4 S 2.65
S 0.0000 0.5000 0.5000  2 Hg 2.65
S 0.5000 0.0000 0.5000  2 Hg 2.65

Computed properties:
Volume ... 142.5 Å³/cell
Crystal system ... tetragonal
Fermi-level density of states ... 3.22 states/eV/cell

Computed stability ranking, most favorable first: arrangement b, arrangement a

Arrangement a

Rb2HgSb | PBE | optimized geometry

Lattice parameters (Å, degrees): 7.1544 7.1544 6.5947 90.00 90.00 78.74
Closest atoms and distances in Å follow each position.
Element x y z (fractional)
Rb 0.0237 0.3242 0.2500  4 Sb 3.81-3.86, 3 Rb 3.85-4.12, 4 Hg 4.06-4.19
Rb 0.3242 0.0237 0.7500  4 Sb 3.81-3.86, 3 Rb 3.85-4.12, 4 Hg 4.06-4.19
Rb 0.6758 0.9763 0.2500  4 Sb 3.81-3.86, 3 Rb 3.85-4.12, 4 Hg 4.06-4.19
Rb 0.9763 0.6758 0.7500  4 Sb 3.81-3.86, 3 Rb 3.85-4.12, 4 Hg 4.06-4.19
Hg 0.5000 0.5000 0.0000  2 Sb 3.06, 2 Hg 3.30
Hg 0.5000 0.5000 0.5000  2 Sb 3.06, 2 Hg 3.30
Sb 0.2158 0.7842 0.2500  2 Hg 3.06
Sb 0.7842 0.2158 0.7500  2 Hg 3.06

Computed properties:
Volume ... 331.0 Å³/cell
Crystal system ... orthorhombic
Fermi-level density of states ... 5.96 states/eV/cell

Arrangement b

Rb2HgSb | PBE | optimized geometry

Lattice parameters (Å, degrees): 12.3371 12.3371 12.3371 152.12 152.12 39.83
Closest atoms and distances in Å follow each position.
Element x y z (fractional)
Rb 0.1242 0.6250 0.9992  2 Hg 3.58, 2 Sb 3.58
Rb 0.3750 0.3742 0.4992  2 Hg 3.58, 2 Sb 3.58
Rb 0.6258 0.1250 0.0008  2 Hg 3.58, 2 Sb 3.58
Rb 0.8750 0.8758 0.5008  2 Hg 3.58, 2 Sb 3.58
Hg 0.0000 0.0000 0.0000  4 Rb 3.58
Hg 0.7500 0.2500 0.5000  4 Rb 3.58
Sb 0.2500 0.7500 0.5000  4 Rb 3.58
Sb 0.5000 0.5000 0.0000  4 Rb 3.58

Computed properties:
Volume ... 409.7 Å³/cell
Crystal system ... tetragonal
Fermi-level density of states ... 4.09 states/eV/cell

Arrangement c

Rb2HgSb | PBE | optimized geometry

Lattice parameters (Å, degrees): 7.0801 5.0151 10.4971 90.00 105.06 90.00
Closest atoms and distances in Å follow each position.
Element x y z (fractional)
Rb 0.2122 0.2500 0.4259  4 Hg 3.75-3.89, 3 Sb 3.84-3.89
Rb 0.2807 0.7500 0.0717  4 Sb 3.83-3.86, 3 Hg 3.85-3.95
Rb 0.7193 0.2500 0.9283  4 Sb 3.83-3.86, 3 Hg 3.85-3.95
Rb 0.7878 0.7500 0.5741  4 Hg 3.75-3.89, 3 Sb 3.84-3.89
Hg 0.3317 0.7500 0.7155  2 Sb 2.93
Hg 0.6683 0.2500 0.2845  2 Sb 2.93
Sb 0.1638 0.2500 0.7817  2 Hg 2.93
Sb 0.8362 0.7500 0.2183  2 Hg 2.93

Computed properties:
Volume ... 359.9 Å³/cell
Crystal system ... monoclinic
Fermi-level density of states ... 4.71 states/eV/cell

Arrangement d

Rb2HgSb | PBE | optimized geometry

Lattice parameters (Å, degrees): 6.4766 6.4766 3.8840 90.00 90.00 90.00
Closest atoms and distances in Å follow each position.
Element x y z (fractional)
Rb 0.0000 0.5000 0.0000  4 Hg 3.78, 4 Sb 3.78, 2 Rb 3.88
Rb 0.5000 0.0000 0.0000  4 Hg 3.78, 4 Sb 3.78, 2 Rb 3.88
Hg 0.0000 0.0000 0.5000  8 Rb 3.78, 2 Hg 3.88
Sb 0.5000 0.5000 0.5000  8 Rb 3.78, 2 Sb 3.88

Computed properties:
Volume ... 162.9 Å³/cell
Crystal system ... tetragonal
Fermi-level density of states ... 2.94 states/eV/cell

Computed stability ranking, most favorable first: arrangement c, arrangement a, arrangement d, arrangement b